Entry from Alexandria: an optimized crystal structure of CaCeZr2N4 (GGA-PBE).

Its density of states at the Fermi level is 3.02 states/eV/f.u. The total energy comes out at -8.78 eV per atom. Its uncorrected formation energy is -1492 meV per atom.

It has space group I-4m2 (No. 119), with a = 4.7833 Å, b = 4.7833 Å, c = 9.5685 Å, α = 90.00°, β = 90.00° and γ = 90.00°. The inequivalent atoms are Ca at (0.0000, 0.0000, 0.0000), Ce at (0.0000, 0.5000, 0.7500), Zr at (0.0000, 0.0000, 0.5000), Zr at (0.0000, 0.5000, 0.2500), N at (0.0000, 0.0000, 0.2628) and N at (0.0000, 0.5000, 0.0082).

=====

Entry from Alexandria: an optimized crystal structure of CaTa4Br (GGA-PBE).

Its density of states at the Fermi level is 4.90 states/eV/f.u. The total energy comes out at -7.74 eV per atom. Its uncorrected formation energy is 770 meV per atom.

It has space group F-43m (No. 216), with a = 8.1243 Å, b = 8.1243 Å, c = 8.1243 Å, α = 90.00°, β = 90.00° and γ = 90.00°. The inequivalent atoms are Ca at (0.0000, 0.0000, 0.0000), Ta at (0.1299, 0.1299, 0.6299) and Br at (0.2500, 0.2500, 0.2500).

=====

Entry from Alexandria: an optimized crystal structure of Ac2Zn6AgRu (GGA-PBE).

Its density of states at the Fermi level is 6.29 states/eV/f.u. As for the energy relative to the elements: -0.105 eV per atom. The total energy comes out at -2.90 eV per atom.

It has space group Immm (No. 71), with a = 6.8888 Å, b = 6.9058 Å, c = 9.7602 Å, α = 90.00°, β = 90.00° and γ = 90.00°. The inequivalent atoms are Ac at (0.0000, 0.0000, 0.2498), Zn at (0.0000, 0.5000, 0.2462), Zn at (0.2466, 0.2540, 0.0000), Ag at (0.0000, 0.5000, 0.5000) and Ru at (0.0000, 0.5000, 0.0000).

=====

Entry from Alexandria: an optimized crystal structure of CuSiRu2 (GGA-PBE).

Its density of states at the Fermi level is 4.67 states/eV/f.u. The total energy comes out at -6.92 eV per atom. Its uncorrected formation energy is 99 meV per atom.

It has space group C2/m (No. 12), with a = 5.3454 Å, b = 8.2344 Å, c = 2.7337 Å, α = 90.00°, β = 116.75° and γ = 90.00°. The inequivalent atoms are Cu at (0.0000, 0.0000, 0.0000), Si at (0.0000, 0.5000, 0.0000) and Ru at (0.2500, 0.2500, 0.5000).

=====

Entry from Alexandria: an optimized crystal structure of Pr6MgTl5 (GGA-PBE).

Its density of states at the Fermi level is 12.48 states/eV/f.u. As for the energy relative to the elements: -0.352 eV per atom. The total energy comes out at -3.86 eV per atom.

It has space group C2/m (No. 12), with a = 17.5800 Å, b = 7.8539 Å, c = 5.5584 Å, α = 90.00°, β = 108.15° and γ = 90.00°. The inequivalent atoms are Pr at (0.0000, 0.2458, 0.0000), Pr at (0.1684, 0.2484, 0.6684), Mg at (0.0000, 0.5000, 0.5000), Tl at (0.0000, 0.0000, 0.5000), Tl at (0.1589, 0.5000, 0.1592) and Tl at (0.1671, 0.0000, 0.1669).

=====

Entry from Alexandria: an optimized crystal structure of KIn3Br (GGA-PBE).

Its density of states at the Fermi level is 4.99 states/eV/f.u. As for the distance to the lowest polymorph of the same formula: 0.520 eV/atom. The total energy comes out at -1.65 eV per atom. Its uncorrected formation energy is 549 meV per atom.

It has space group Pm-3m (No. 221), with a = 6.3790 Å, b = 6.3790 Å, c = 6.3790 Å, α = 90.00°, β = 90.00° and γ = 90.00°. The inequivalent atoms are K at (0.0000, 0.0000, 0.0000), In at (0.0000, 0.0000, 0.5000) and Br at (0.5000, 0.5000, 0.5000).

=====

Entry from Alexandria: an optimized crystal structure of LaSi3Sb (GGA-PBE).

Its density of states at the Fermi level is 4.90 states/eV/f.u. As for the distance to the lowest polymorph of the same formula: 0.703 eV/atom. The total energy comes out at -3.71 eV per atom. Its uncorrected formation energy is 1355 meV per atom.

It has space group Pm-3m (No. 221), with a = 5.4741 Å, b = 5.4741 Å, c = 5.4741 Å, α = 90.00°, β = 90.00° and γ = 90.00°. The inequivalent atoms are La at (0.0000, 0.0000, 0.0000), Si at (0.0000, 0.0000, 0.5000) and Sb at (0.5000, 0.5000, 0.5000).

=====

Entry from Alexandria: an optimized crystal structure of KVSbPt2 (GGA-PBE).

Its density of states at the Fermi level is 7.26 states/eV/f.u. As for the distance to the lowest polymorph of the same formula: 0.197 eV/atom. The total energy comes out at -4.30 eV per atom. Its uncorrected formation energy is 979 meV per atom.

It has space group P4/mmm (No. 123), with a = 5.0150 Å, b = 5.0150 Å, c = 5.7998 Å, α = 90.00°, β = 90.00° and γ = 90.00°. The inequivalent atoms are K at (0.0000, 0.0000, 0.0000), V at (0.5000, 0.5000, 0.0000), Sb at (0.0000, 0.0000, 0.5000) and Pt at (0.0000, 0.5000, 0.5000).